(1)
## Ba2DyThS6 (PBE-GGA)

Data for a relaxed Ba2DyThS6 crystal.

## Properties
Raw total energy   -5.94 eV per atom
Symmetry   No. 14
N(E_F)   14.8 states/eV/f.u.

Cell lengths 7.3045, 7.6612, 10.5203 Å; angles 90.00, 90.66, 90.00 degrees
Last column: nearest neighbours and their distance in Å.
Fractional positions:
Ba 0.0227 0.9337 0.2492  6 S 3.20-3.40
Ba 0.4773 0.4337 0.2508  6 S 3.20-3.40
Ba 0.5227 0.5663 0.7492  6 S 3.20-3.40
Ba 0.9773 0.0663 0.7508  6 S 3.20-3.40
Dy 0.0000 0.5000 0.0000  6 S 2.71-2.73
Dy 0.5000 0.0000 0.5000  6 S 2.71-2.73
S 0.0961 0.4727 0.7527  1 Dy 2.71, 1 Th 2.75
S 0.2037 0.2044 0.4493  1 Dy 2.72, 1 Th 2.76
S 0.6987 0.2944 0.5498  1 Dy 2.73, 1 Th 2.76
S 0.5961 0.0273 0.2527  1 Dy 2.71, 1 Th 2.75
S 0.2963 0.7044 0.0507  1 Dy 2.72, 1 Th 2.76
S 0.3013 0.7056 0.4502  1 Dy 2.73, 1 Th 2.76
S 0.8013 0.7944 0.9502  1 Dy 2.73, 1 Th 2.76
S 0.1987 0.2056 0.0498  1 Dy 2.73, 1 Th 2.76
S 0.9039 0.5273 0.2473  1 Dy 2.71, 1 Th 2.75
S 0.7963 0.7956 0.5507  1 Dy 2.72, 1 Th 2.76
S 0.7037 0.2956 0.9493  1 Dy 2.72, 1 Th 2.76
S 0.4039 0.9727 0.7473  1 Dy 2.71, 1 Th 2.75
Th 0.5000 0.0000 0.0000  6 S 2.75-2.76
Th 0.0000 0.5000 0.5000  6 S 2.75-2.76

---

(2)
## Ba2DyTlS5 (PBE-GGA)

Data for a relaxed Ba2DyTlS5 crystal.

## Properties
Raw total energy   -5.08 eV per atom
Symmetry   No. 36

Cell lengths 4.1681, 9.4161, 13.0311 Å; angles 90.00, 90.00, 102.79 degrees
Last column: nearest neighbours and their distance in Å.
Fractional positions:
S 0.2899 0.5798 0.6546  2 Dy 2.75
S 0.4940 0.9881 0.7704  1 Tl 2.47
S 0.6868 0.3735 0.8747  1 Tl 2.76, 2 Dy 2.83
S 0.5060 0.0119 0.2704  1 Tl 2.47
S 0.6446 0.2892 0.5025  1 Dy 2.64
S 0.3554 0.7108 0.0025  1 Dy 2.64
S 0.7101 0.4202 0.1546  2 Dy 2.75
S 0.3132 0.6265 0.3747  1 Tl 2.76, 2 Dy 2.83
S 0.9461 0.8923 0.5609  2 Tl 2.57
S 0.0539 0.1077 0.0609  2 Tl 2.57
Tl 0.4549 0.9097 0.4459  4 S 2.47-2.76
Tl 0.5451 0.0903 0.9459  4 S 2.47-2.76
Ba 0.1180 0.2360 0.6845  8 S 3.18-3.54
Ba 0.1362 0.2724 0.3129  7 S 3.22-3.35
Ba 0.8820 0.7640 0.1845  8 S 3.18-3.54
Ba 0.8638 0.7276 0.8129  7 S 3.22-3.35
Dy 0.7879 0.5758 0.5175  5 S 2.64-2.83
Dy 0.2121 0.4242 0.0175  5 S 2.64-2.83